A plane-wave DFT calculation with GGA-PBE was carried out for a relaxed structure of ZnGaSnO4.

Cell lengths 6.189, 6.189, 8.737 Å; angles 90.00, 90.00, 90.00 degrees
Element x y z (fractional)
Zn 0.000 0.232 0.000
Zn 0.000 0.768 0.500
Zn 0.232 0.000 0.750
Zn 0.768 0.000 0.250
Ga 0.247 0.247 0.375
Ga 0.247 0.753 0.125
Ga 0.753 0.247 0.625
Ga 0.753 0.753 0.875
Sn 0.234 0.500 0.750
Sn 0.500 0.234 0.000
Sn 0.500 0.766 0.500
Sn 0.766 0.500 0.250
O 0.001 0.245 0.243
O 0.001 0.755 0.257
O 0.243 0.495 0.003
O 0.243 0.505 0.497
O 0.245 0.001 0.507
O 0.245 0.999 0.993
O 0.495 0.243 0.747
O 0.495 0.757 0.753
O 0.505 0.243 0.253
O 0.505 0.757 0.247
O 0.755 0.001 0.493
O 0.755 0.999 0.007
O 0.757 0.495 0.997
O 0.757 0.505 0.503
O 0.999 0.245 0.757
O 0.999 0.755 0.743

Results
energy above the most stable polymorph in this dataset = 32 meV/atom
raw total energy = -5.44 eV per atom